(1)
First-principles (PBE) data for an optimized crystal structure of CaAcAlHg, as listed in the Alexandria database.

Cell lengths 5.533, 5.533, 5.533 Å; angles 60.00, 60.00, 60.00 degrees
Atoms (fractional coordinates):
Ca1 0.000 0.000 0.000
Ac1 0.500 0.500 0.500
Al1 0.750 0.750 0.750
Hg1 0.250 0.250 0.250

Output
Energy of formation from the pure elements: -146 kJ/mol of formula units
Crystal system: cubic
SG: F-43m, No. 216

***

(2)
First-principles (PBE) data for an optimized crystal structure of Sm4PdRh, as listed in the Alexandria database.

Cell lengths 7.015, 7.015, 6.485 Å; angles 90.00, 90.00, 90.00 degrees
Atoms (fractional coordinates):
Sm1 0.176 0.315 0.000
Sm2 0.176 0.685 0.500
Sm3 0.315 0.176 0.500
Sm4 0.315 0.824 0.000
Sm5 0.685 0.176 0.000
Sm6 0.685 0.824 0.500
Sm7 0.824 0.315 0.500
Sm8 0.824 0.685 0.000
Pd1 0.500 0.500 0.250
Pd2 0.500 0.500 0.750
Rh1 0.000 0.000 0.250
Rh2 0.000 0.000 0.750

Output
Energy of formation from the pure elements: -301 kJ/mol of formula units
Crystal system: tetragonal
SG: P4/mcc, No. 124
E above lowest polymorph: 0 meV per atom

***

(3)
First-principles (PBE) data for an optimized crystal structure of Ca2TeSe, as listed in the Alexandria database.

Cell lengths 3.871, 3.871, 7.729 Å; angles 90.00, 90.00, 102.92 degrees
Atoms (fractional coordinates):
Ca1 0.000 0.000 0.238
Ca2 0.000 0.000 0.762
Te1 0.500 0.500 0.500
Se1 0.500 0.500 0.000

Output
Raw formation energy: -1.4936 eV/atom
Crystal system: orthorhombic
SG: Cmmm, No. 65
E above lowest polymorph: 329 meV per atom

***

no.,mass density (Mg/m³)
1,6.859
2,8.439
3,4.218